(1)
Compound: BaNaSr2Pd
Source: the Alexandria database
Functional: GGA-PBE
Structure: relaxed

Its energy relative to the elements is -0.28 eV/atom. The space group is P4/mmm, No. 123. The calculation puts the energy above the lowest structure with this stoichiometry at 0.000 eV per atom.

Unit cell a=6.079 b=6.079 c=6.287 alpha=90.00 beta=90.00 gamma=90.00
Positions (direct):
Ba 0.000 0.000 0.000
Na 0.500 0.500 0.000
Sr 0.000 0.500 0.500
Sr 0.500 0.000 0.500
Pd 0.000 0.000 0.500

(2)
Compound: CaP2PdO6
Source: the Alexandria database
Functional: GGA-PBE
Structure: relaxed

The raw formation energy comes out at -1738.1 meV/atom. The space group is R-3, No. 148.

Unit cell a=5.453 b=5.453 c=5.453 alpha=67.65 beta=67.65 gamma=67.65
Positions (direct):
Ca 0.000 0.000 0.000
P 0.285 0.285 0.285
P 0.715 0.715 0.715
Pd 0.500 0.500 0.500
O 0.037 0.224 0.522
O 0.224 0.522 0.037
O 0.478 0.963 0.776
O 0.522 0.037 0.224
O 0.776 0.478 0.963
O 0.963 0.776 0.478

(3)
Compound: BaReP2
Source: the Alexandria database
Functional: GGA-PBE
Structure: relaxed

Its energy relative to the elements is -0.12 eV/atom. The space group is P4/mmm, No. 123.

Unit cell a=3.183 b=3.183 c=7.459 alpha=90.00 beta=90.00 gamma=90.00
Positions (direct):
Ba 0.000 0.000 0.000
Re 0.000 0.000 0.500
P 0.500 0.500 0.321
P 0.500 0.500 0.679

(4)
Compound: Cd2HgBr
Source: the Alexandria database
Functional: GGA-PBE
Structure: relaxed

The raw formation energy comes out at -152.6 meV/atom. The space group is P4mm, No. 99. The calculation puts the energy above the lowest structure with this stoichiometry at 0.053 eV per atom.

Unit cell a=3.580 b=3.580 c=8.400 alpha=90.00 beta=90.00 gamma=90.00
Positions (direct):
Cd 0.000 0.000 0.000
Cd 0.500 0.500 0.228
Hg 0.000 0.000 0.466
Br 0.500 0.500 0.795

(5)
Compound: BeRe2O
Source: the Alexandria database
Functional: GGA-PBE
Structure: relaxed

The raw formation energy comes out at 532.1 meV/atom. The space group is Fm-3m, No. 225. The calculation puts the energy above the lowest structure with this stoichiometry at 0.000 eV per atom.

Unit cell a=5.629 b=5.629 c=5.629 alpha=90.00 beta=90.00 gamma=90.00
Positions (direct):
Be 0.000 0.000 0.000
Be 0.000 0.500 0.500
Be 0.500 0.000 0.500
Be 0.500 0.500 0.000
Re 0.250 0.250 0.250
Re 0.250 0.250 0.750
Re 0.250 0.750 0.250
Re 0.250 0.750 0.750
Re 0.750 0.250 0.250
Re 0.750 0.250 0.750
Re 0.750 0.750 0.250
Re 0.750 0.750 0.750
O 0.000 0.000 0.500
O 0.000 0.500 0.000
O 0.500 0.000 0.000
O 0.500 0.500 0.500

(6)
Compound: FeNiMo
Source: the Alexandria database
Functional: GGA-PBE
Structure: relaxed

Its energy relative to the elements is 0.04 eV/atom. The space group is Ima2, No. 46. The calculation puts the energy above the lowest structure with this stoichiometry at 0.011 eV per atom.

Unit cell a=4.670 b=6.744 c=4.670 alpha=90.00 beta=90.00 gamma=90.00
Positions (direct):
Fe 0.250 0.219 0.000
Fe 0.250 0.281 0.500
Fe 0.750 0.719 0.500
Fe 0.750 0.781 0.000
Ni 0.000 0.000 0.680
Ni 0.000 0.500 0.180
Ni 0.500 0.000 0.680
Ni 0.500 0.500 0.180
Mo 0.250 0.625 0.694
Mo 0.250 0.875 0.194
Mo 0.750 0.125 0.194
Mo 0.750 0.375 0.694

Repeat the fifth record exactly.
Compound: BeRe2O
Source: the Alexandria database
Functional: GGA-PBE
Structure: relaxed

The raw formation energy comes out at 532.1 meV/atom. The space group is Fm-3m, No. 225. The calculation puts the energy above the lowest structure with this stoichiometry at 0.000 eV per atom.

Unit cell a=5.629 b=5.629 c=5.629 alpha=90.00 beta=90.00 gamma=90.00
Positions (direct):
Be 0.000 0.000 0.000
Be 0.000 0.500 0.500
Be 0.500 0.000 0.500
Be 0.500 0.500 0.000
Re 0.250 0.250 0.250
Re 0.250 0.250 0.750
Re 0.250 0.750 0.250
Re 0.250 0.750 0.750
Re 0.750 0.250 0.250
Re 0.750 0.250 0.750
Re 0.750 0.750 0.250
Re 0.750 0.750 0.750
O 0.000 0.000 0.500
O 0.000 0.500 0.000
O 0.500 0.000 0.000
O 0.500 0.500 0.500